1.
Entry from OQMD: a geometry-optimized DyYAlIr2 structure (PBE).

Cell: 4.0937 5.8255 8.5629 Å, 90.00 90.00 90.00°
Atoms (fractional coordinates):
Dy1 0.0000 0.0000 0.0000
Dy2 0.5000 0.5000 0.5000
Y1 0.0000 0.0000 0.3962
Y2 0.5000 0.5000 0.8962
Al1 0.0000 0.5000 0.1981
Al2 0.5000 0.0000 0.6981
Ir1 0.0000 0.2587 0.6980
Ir2 0.0000 0.7413 0.6980
Ir3 0.5000 0.2413 0.1980
Ir4 0.5000 0.7587 0.1980

Properties
**Total energy**: -7.436 eV/atom
**Symmetry**: Imm2

---

2.
Entry from OQMD: a geometry-optimized KDyAlTe3 structure (PBE).

Cell: 7.9978 7.9978 11.6196 Å, 90.00 90.00 144.98°
Atoms (fractional coordinates):
K1 0.2484 0.7516 0.7500
K2 0.7516 0.2484 0.2500
Dy1 0.0000 0.0000 0.0000
Dy2 0.0000 0.0000 0.5000
Al1 0.4828 0.5172 0.2500
Al2 0.5172 0.4828 0.7500
Te1 0.0693 0.9307 0.2500
Te2 0.3738 0.6262 0.0653
Te3 0.3738 0.6262 0.4347
Te4 0.6262 0.3738 0.5653
Te5 0.6262 0.3738 0.9347
Te6 0.9307 0.0693 0.7500

Properties
**Total energy**: -4.062 eV/atom
**Symmetry**: Cmcm

---

3.
Entry from OQMD: a geometry-optimized LaDyAl6 structure (PBE).

Cell: 6.5031 6.5031 4.5812 Å, 90.00 90.00 120.00°
Atoms (fractional coordinates):
La1 0.0000 0.0000 0.0000
Dy1 0.6667 0.3333 0.5000
Al1 0.0438 0.5219 0.0000
Al2 0.1929 0.3858 0.5000
Al3 0.1929 0.8071 0.5000
Al4 0.4781 0.5219 0.0000
Al5 0.4781 0.9562 0.0000
Al6 0.6142 0.8071 0.5000

Properties
**Total energy**: -4.427 eV/atom
**Symmetry**: P-6m2

---

4.
Entry from OQMD: a geometry-optimized La2DyMg3AlTl2 structure (PBE).

Cell: 4.7332 7.6539 7.6539 Å, 118.85 90.00 90.00°
Atoms (fractional coordinates):
La1 0.0000 0.2121 0.7879
La2 0.0000 0.7879 0.2121
Dy1 0.0000 0.3693 0.3693
Mg1 0.5000 0.0200 0.0200
Mg2 0.5000 0.5488 0.7852
Mg3 0.5000 0.7852 0.5488
Al1 0.0000 0.7750 0.7750
Tl1 0.5000 0.1279 0.4483
Tl2 0.5000 0.4483 0.1279

Properties
**Total energy**: -3.400 eV/atom
**Symmetry**: Amm2

---

- Among the records above, which one has the lowest total energy?
  DyYAlIr2